Compound: RbPmEr4Se8
Source: the Alexandria database
Functional: GGA-PBE
Structure: optimized geometry

The structure in extended XYZ format:
```
14
Lattice="4.278 2.470 7.163 -4.278 2.470 7.163 0.000 -4.940 7.163" Properties=species:S:1:pos:R:3 pbc="T T T"
Rb 0.000 0.000 0.000
Pm 0.000 0.000 7.820
Er 0.000 -2.555 11.559
Er -2.213 1.278 11.559
Er 0.000 0.000 15.986
Er 2.213 1.278 11.559
Se 0.000 -2.165 5.947
Se -1.875 1.083 5.947
Se -2.041 -1.178 9.815
Se 0.000 0.000 2.999
Se 1.875 1.083 5.947
Se 0.000 0.000 13.161
Se 2.041 -1.178 9.815
Se 0.000 2.356 9.815
```

Energy relative to the elements, uncorrected in eV/atom: -1.7061
E in eV per atom: -5.41
DOS(E_F) in states/eV per atom: 0.00
Spin magnetization in μB/cell: 0.0


Compound: P2IrRu
Source: the Alexandria database
Functional: GGA-PBE
Structure: optimized geometry

The structure in extended XYZ format:
```
4
Lattice="3.761 -1.460 0.000 3.761 1.460 0.000 -1.124 0.000 4.905" Properties=species:S:1:pos:R:3 pbc="T T T"
P 1.587 0.000 1.190
P 4.810 0.000 3.715
Ir -0.562 0.000 2.453
Ru 3.761 0.000 0.000
```

ΔE_f in eV/atom: -0.201
E in eV per atom: -7.44
DOS(E_F) in states/eV per atom: 0.31
Spin magnetization in μB/cell: 0.0
Energy above the lowest structure with this stoichiometry in eV per atom: 0.261


Compound: CsBaInBr6
Source: the Alexandria database
Functional: GGA-PBE
Structure: optimized geometry

The structure in extended XYZ format:
```
18
Lattice="7.971 0.000 0.000 -3.985 6.903 0.000 0.000 0.000 15.057" Properties=species:S:1:pos:R:3 pbc="T T T"
Cs 0.000 0.000 0.000
Cs 0.000 0.000 7.528
Ba 0.000 4.602 3.764
Ba 3.985 2.301 11.293
In 0.000 4.602 11.293
In 3.985 2.301 3.764
Br -1.192 2.741 9.682
Br -2.207 4.500 12.903
Br 1.192 2.741 12.903
Br -1.015 6.564 9.682
Br 2.970 0.339 2.154
Br 1.778 2.403 5.375
Br 2.207 4.500 9.682
Br 1.015 6.564 12.903
Br 5.001 0.339 5.375
Br 2.794 4.161 2.154
Br 6.192 2.403 2.154
Br 5.177 4.161 5.375
```

Energy relative to the elements, uncorrected in eV/atom: -1.4920
E in eV per atom: -3.22
DOS(E_F) in states/eV per atom: 0.00
Spin magnetization in μB/cell: 0.0


Compound: Zr4FeNi
Source: the Alexandria database
Functional: GGA-PBE
Structure: optimized geometry

The structure in extended XYZ format:
```
6
Lattice="-3.187 3.187 2.760 3.187 -3.187 2.760 3.187 3.187 -2.760" Properties=species:S:1:pos:R:3 pbc="T T T"
Zr 2.095 -1.093 1.380
Zr 4.280 1.093 1.380
Zr 1.093 2.095 1.380
Zr -1.093 4.280 1.380
Fe 0.000 0.000 2.760
Ni 0.000 0.000 0.000
```

ΔE_f in eV/atom: -0.214
E in eV per atom: -8.29
DOS(E_F) in states/eV per atom: 1.40
Spin magnetization in μB/cell: 0.0
Energy above the lowest structure with this stoichiometry in eV per atom: 0.000


Compound: Gd2NCl3
Source: the Alexandria database
Functional: GGA-PBE
Structure: optimized geometry

The structure in extended XYZ format:
```
24
Lattice="13.157 0.000 0.000 0.000 6.777 0.000 0.000 0.000 6.168" Properties=species:S:1:pos:R:3 pbc="T T T"
Gd 1.209 1.169 0.047
Gd 1.209 5.608 3.131
Gd 5.370 2.220 3.131
Gd 5.370 4.557 0.047
Gd 7.787 2.220 6.121
Gd 7.787 4.557 3.037
Gd 11.949 1.169 3.037
Gd 11.949 5.608 6.121
N 0.000 0.067 4.626
N 0.000 6.710 1.542
N 6.579 3.321 1.542
N 6.579 3.455 4.626
Cl 0.000 3.371 1.542
Cl 0.000 3.405 4.626
Cl 2.902 0.914 2.400
Cl 2.902 5.863 5.484
Cl 3.677 2.474 5.484
Cl 3.677 4.302 2.400
Cl 6.579 0.017 4.626
Cl 6.579 6.760 1.542
Cl 9.480 2.474 3.768
Cl 9.480 4.302 0.684
Cl 10.256 0.914 0.684
Cl 10.256 5.863 3.768
```

Energy relative to the elements, uncorrected in eV/atom: -2.1148
E in eV per atom: -9.12
DOS(E_F) in states/eV per atom: 0.00
Spin magnetization in μB/cell: 56.0


Compound: PrSm4Mg3
Source: the Alexandria database
Functional: GGA-PBE
Structure: optimized geometry

The structure in extended XYZ format:
```
8
Lattice="3.806 0.000 0.000 0.000 5.603 0.000 0.000 0.000 11.325" Properties=species:S:1:pos:R:3 pbc="T T T"
Pr 0.000 0.000 0.000
Sm 1.903 0.000 3.009
Sm 1.903 0.000 8.316
Sm 1.903 2.801 0.000
Sm 1.903 2.801 5.662
Mg 0.000 0.000 5.662
Mg 0.000 2.801 2.852
Mg 0.000 2.801 8.472
```

ΔE_f in eV/atom: -0.023
E in eV per atom: -3.58
DOS(E_F) in states/eV per atom: 1.23
Spin magnetization in μB/cell: 0.0


Compound: Sm4InHg7
Source: the Alexandria database
Functional: GGA-PBE
Structure: optimized geometry

The structure in extended XYZ format:
```
12
Lattice="6.634 -2.730 0.000 6.634 2.730 0.000 -5.732 0.000 9.342" Properties=species:S:1:pos:R:3 pbc="T T T"
Sm -0.517 0.000 2.590
Sm -1.513 0.000 7.689
Sm 9.049 0.000 1.652
Sm 8.053 0.000 6.752
In 3.768 0.000 4.671
Hg -2.866 0.000 4.671
Hg 1.616 0.000 0.309
Hg 0.702 0.000 5.444
Hg 4.669 0.000 1.491
Hg 2.866 0.000 7.851
Hg 6.833 0.000 3.897
Hg 5.920 0.000 9.033
```

ΔE_f in eV/atom: -0.281
E in eV per atom: -2.26
DOS(E_F) in states/eV per atom: 0.64
Spin magnetization in μB/cell: 0.0


Compound: TaCoSi2
Source: the Alexandria database
Functional: GGA-PBE
Structure: optimized geometry

The structure in extended XYZ format:
```
4
Lattice="4.457 -1.425 0.000 4.457 1.425 0.000 -1.339 0.000 4.309" Properties=species:S:1:pos:R:3 pbc="T T T"
Ta 0.000 0.000 0.000
Co 6.220 0.000 1.618
Si 1.081 0.000 3.435
Si 3.640 0.000 2.139
```

Energy relative to the elements, uncorrected in eV/atom: -0.2592
E in eV per atom: -7.71
DOS(E_F) in states/eV per atom: 0.57
Spin magnetization in μB/cell: 0.0


The highest DOS(E_F) belongs to which entry? Zr4FeNi


Look up the E of the sixth one. -3.58 eV per atom


What is the formula in the first record? RbPmEr4Se8


Copy entry 5 word for word.
Compound: Gd2NCl3
Source: the Alexandria database
Functional: GGA-PBE
Structure: optimized geometry

The structure in extended XYZ format:
```
24
Lattice="13.157 0.000 0.000 0.000 6.777 0.000 0.000 0.000 6.168" Properties=species:S:1:pos:R:3 pbc="T T T"
Gd 1.209 1.169 0.047
Gd 1.209 5.608 3.131
Gd 5.370 2.220 3.131
Gd 5.370 4.557 0.047
Gd 7.787 2.220 6.121
Gd 7.787 4.557 3.037
Gd 11.949 1.169 3.037
Gd 11.949 5.608 6.121
N 0.000 0.067 4.626
N 0.000 6.710 1.542
N 6.579 3.321 1.542
N 6.579 3.455 4.626
Cl 0.000 3.371 1.542
Cl 0.000 3.405 4.626
Cl 2.902 0.914 2.400
Cl 2.902 5.863 5.484
Cl 3.677 2.474 5.484
Cl 3.677 4.302 2.400
Cl 6.579 0.017 4.626
Cl 6.579 6.760 1.542
Cl 9.480 2.474 3.768
Cl 9.480 4.302 0.684
Cl 10.256 0.914 0.684
Cl 10.256 5.863 3.768
```

Energy relative to the elements, uncorrected in eV/atom: -2.1148
E in eV per atom: -9.12
DOS(E_F) in states/eV per atom: 0.00
Spin magnetization in μB/cell: 56.0